Crystalline LaZn2Te at its relaxed geometry. Source: Alexandria, functional GGA-PBEsol.

Cell: 5.157 5.157 5.157 Å, 60.00 60.00 60.00°
Sites, in units of the cell vectors:
1 La 0.000 0.000 0.000
2 Zn 0.250 0.250 0.250
3 Zn 0.500 0.500 0.500
4 Te 0.750 0.750 0.750

Properties
- Total energy: -13.449 eV for the cell shown
- Calculated volume: 97.0 Å³/cell
- Space group: F-43m
- M_tot: 0.000 μB/atom

---

Crystalline TiBe3 at its relaxed geometry. Source: Alexandria, functional GGA-PBEsol.

Cell: 7.484 7.484 7.484 Å, 34.55 34.55 34.55°
Sites, in units of the cell vectors:
1 Ti 0.000 0.000 0.000
2 Ti 0.143 0.143 0.143
3 Ti 0.857 0.857 0.857
4 Be 0.079 0.583 0.583
5 Be 0.334 0.334 0.334
6 Be 0.417 0.417 0.921
7 Be 0.417 0.921 0.417
8 Be 0.500 0.500 0.500
9 Be 0.583 0.079 0.583
10 Be 0.583 0.583 0.079
11 Be 0.666 0.666 0.666
12 Be 0.921 0.417 0.417

Properties
- Total energy: -63.292 eV for the cell shown
- Calculated volume: 120.3 Å³/cell
- Space group: R-3m
- Formation enthalpy at 0 K: -0.194 eV/atom
- M_tot: 0.181 μB/atom

---

Crystalline LiBiN3 at its relaxed geometry. Source: Alexandria, functional GGA-PBEsol.

Cell: 4.363 4.363 4.363 Å, 90.00 90.00 90.00°
Sites, in units of the cell vectors:
1 Li 0.000 0.000 0.000
2 Bi 0.500 0.500 0.500
3 N 0.000 0.500 0.500
4 N 0.500 0.000 0.500
5 N 0.500 0.500 0.000

Properties
- Total energy: -23.532 eV for the cell shown
- Calculated volume: 83.1 Å³/cell
- Space group: Pm-3m
- M_tot: 0.660 μB/atom

---

Crystalline SrTlNiSn2 at its relaxed geometry. Source: Alexandria, functional GGA-PBEsol.

Cell: 5.030 5.030 5.083 Å, 90.00 90.00 90.00°
Sites, in units of the cell vectors:
1 Sr 0.000 0.000 0.000
2 Tl 0.500 0.500 0.000
3 Ni 0.500 0.500 0.500
4 Sn 0.000 0.500 0.500
5 Sn 0.500 0.000 0.500

Properties
- Total energy: -20.195 eV for the cell shown
- Calculated volume: 128.6 Å³/cell
- Space group: P4/mmm
- Formation enthalpy at 0 K: -0.210 eV/atom
- M_tot: 0.000 μB/atom

---

Crystalline Tl2SnGePd at its relaxed geometry. Source: Alexandria, functional GGA-PBEsol.

Cell: 5.544 5.544 5.189 Å, 90.00 90.00 90.00°
Sites, in units of the cell vectors:
1 Tl 0.000 0.500 0.000
2 Tl 0.500 0.000 0.000
3 Sn 0.000 0.000 0.000
4 Ge 0.000 0.000 0.500
5 Pd 0.500 0.500 0.500

Properties
- Total energy: -15.644 eV for the cell shown
- Calculated volume: 159.5 Å³/cell
- Space group: P4/mmm
- Formation enthalpy at 0 K: 0.955 eV/atom
- M_tot: 0.000 μB/atom

---

Crystalline ScIN2F at its relaxed geometry. Source: Alexandria, functional GGA-PBEsol.

Cell: 4.206 4.206 4.252 Å, 90.00 90.00 90.00°
Sites, in units of the cell vectors:
1 Sc 0.000 0.000 0.000
2 I 0.500 0.500 0.500
3 N 0.000 0.500 0.500
4 N 0.500 0.000 0.500
5 F 0.500 0.500 0.000

Properties
- Total energy: -24.525 eV for the cell shown
- Calculated volume: 75.2 Å³/cell
- Space group: P4/mmm
- Excess energy over the best structure of this formula in the dataset: 21.3 meV/atom
- M_tot: 0.067 μB/atom

---

Crystalline ScNbNi2Sn2 at its relaxed geometry. Source: Alexandria, functional GGA-PBEsol.

Cell: 7.354 7.354 7.354 Å, 33.41 33.41 33.41°
Sites, in units of the cell vectors:
1 Sc 0.000 0.000 0.000
2 Nb 0.498 0.498 0.498
3 Ni 0.378 0.378 0.378
4 Ni 0.871 0.871 0.871
5 Sn 0.250 0.250 0.250
6 Sn 0.749 0.749 0.749

Properties
- Total energy: -41.688 eV for the cell shown
- Calculated volume: 107.4 Å³/cell
- Space group: R3m
- Formation enthalpy at 0 K: -0.571 eV/atom
- M_tot: 0.000 μB/atom

---

Crystalline K2TaCd at its relaxed geometry. Source: Alexandria, functional GGA-PBEsol.

Cell: 5.059 5.059 9.713 Å, 91.83 91.83 33.10°
Sites, in units of the cell vectors:
1 K 0.000 0.000 0.000
2 K 0.238 0.238 0.603
3 Ta 0.481 0.481 0.347
4 Cd 0.744 0.744 0.242

Properties
- Total energy: -12.442 eV for the cell shown
- Calculated volume: 135.7 Å³/cell
- Space group: Cm
- Formation enthalpy at 0 K: 0.893 eV/atom
- M_tot: 0.000 μB/atom

---

Crystalline NaMn2Rh at its relaxed geometry. Source: Alexandria, functional GGA-PBEsol.

Cell: 4.411 4.411 4.411 Å, 60.00 60.00 60.00°
Sites, in units of the cell vectors:
1 Na 0.000 0.000 0.000
2 Mn 0.250 0.250 0.250
3 Mn 0.750 0.750 0.750
4 Rh 0.500 0.500 0.500

Properties
- Total energy: -26.704 eV for the cell shown
- Calculated volume: 60.7 Å³/cell
- Space group: Fm-3m
- Formation enthalpy at 0 K: 0.589 eV/atom
- M_tot: 2.086 μB/atom

---

Crystalline RbC2SCl at its relaxed geometry. Source: Alexandria, functional GGA-PBEsol.

Cell: 3.920 3.920 7.137 Å, 90.00 90.00 90.00°
Sites, in units of the cell vectors:
1 Rb 0.000 0.000 0.000
2 C 0.000 0.500 0.500
3 C 0.500 0.000 0.500
4 S 0.000 0.000 0.500
5 Cl 0.500 0.500 0.000

Properties
- Total energy: -19.316 eV for the cell shown
- Calculated volume: 109.7 Å³/cell
- Space group: P4/mmm
- M_tot: 0.004 μB/atom

---

Crystalline ReAs3Ru at its relaxed geometry. Source: Alexandria, functional GGA-PBEsol.

Cell: 4.643 4.643 4.643 Å, 90.00 90.00 90.00°
Sites, in units of the cell vectors:
1 Re 0.000 0.000 0.000
2 As 0.000 0.500 0.500
3 As 0.500 0.000 0.500
4 As 0.500 0.500 0.000
5 Ru 0.500 0.500 0.500

Properties
- Total energy: -31.880 eV for the cell shown
- Calculated volume: 100.1 Å³/cell
- Space group: Pm-3m
- Formation enthalpy at 0 K: 1.389 eV/atom
- M_tot: 0.392 μB/atom

---

Crystalline BeBI2 at its relaxed geometry. Source: Alexandria, functional GGA-PBEsol.

Cell: 6.248 6.248 6.248 Å, 113.64 113.64 101.43°
Sites, in units of the cell vectors:
1 Be 0.000 0.000 0.000
2 Be 0.750 0.250 0.500
3 B 0.250 0.750 0.500
4 B 0.500 0.500 0.000
5 I 0.088 0.625 0.963
6 I 0.375 0.338 0.463
7 I 0.662 0.125 0.037
8 I 0.875 0.912 0.537

Properties
- Total energy: -20.684 eV for the cell shown
- Calculated volume: 185.0 Å³/cell
- Space group: I-42d
- M_tot: 0.177 μB/atom

---

Crystalline Cd2InPd2 at its relaxed geometry. Source: Alexandria, functional GGA-PBEsol.

Cell: 6.985 6.985 3.781 Å, 90.00 90.00 90.00°
Sites, in units of the cell vectors:
1 Cd 0.153 0.347 0.000
2 Cd 0.347 0.847 0.000
3 Cd 0.653 0.153 0.000
4 Cd 0.847 0.653 0.000
5 In 0.000 0.000 0.500
6 In 0.500 0.500 0.500
7 Pd 0.144 0.644 0.500
8 Pd 0.356 0.144 0.500
9 Pd 0.644 0.856 0.500
10 Pd 0.856 0.356 0.500

Properties
- Total energy: -38.148 eV for the cell shown
- Calculated volume: 184.5 Å³/cell
- Space group: P4/mbm
- Formation enthalpy at 0 K: -0.356 eV/atom
- Excess energy over the best structure of this formula in the dataset: 0.0 meV/atom
- M_tot: 0.000 μB/atom

---

Crystalline RbTi2BiI at its relaxed geometry. Source: Alexandria, functional GGA-PBEsol.

Cell: 5.214 5.214 6.125 Å, 90.00 90.00 90.00°
Sites, in units of the cell vectors:
1 Rb 0.000 0.000 0.000
2 Ti 0.000 0.500 0.500
3 Ti 0.500 0.000 0.500
4 Bi 0.500 0.500 0.000
5 I 0.000 0.000 0.500

Properties
- Total energy: -19.905 eV for the cell shown
- Calculated volume: 166.5 Å³/cell
- Space group: P4/mmm
- M_tot: 0.919 μB/atom